Record 1
Material: Bi2AsH2
Method: DFT, GGA-PBE
State: relaxed

abc: 4.721 4.721 5.403
angles: 64.10 64.10 90.00
Sites, in units of the cell vectors:
H1 0.341 0.341 0.319
H2 0.659 0.659 0.681
As1 0.000 0.000 0.000
Bi1 0.750 0.250 0.500
Bi2 0.250 0.750 0.500

Calculated values
total magnetic moment = 0.00 Bohr magnetons per cell
symmetry = I4/mmm (139)
calculated density = 8.680 g cm⁻³
E above lowest polymorph = 1.709 eV/f.u.

Record 2
Material: Pr5Hg3
Method: DFT, GGA-PBE
State: relaxed

abc: 3.851 3.851 16.629
angles: 90.00 90.00 90.00
Last column: magnetic moment on the atom in μB.
Sites, in units of the cell vectors:
Pr1 0.000 0.000 0.232  0.10
Pr2 0.500 0.500 0.617  0.08
Pr3 0.500 0.500 0.383  0.08
Pr4 0.000 0.000 0.768  0.10
Pr5 0.000 0.000 0.000  0.26
Hg1 0.500 0.500 0.120  0.01
Hg2 0.500 0.500 0.880  0.01
Hg3 0.000 0.000 0.500  -0.01

Calculated values
total magnetic moment = 1.33 Bohr magnetons per cell
symmetry = P4/mmm (123)
calculated density = 8.798 g cm⁻³
calculated formation energy = -0.3449 eV/atom

Record 3
Material: AcZn10Ag2
Method: DFT, GGA-PBE
State: relaxed

abc: 5.428 7.018 7.105
angles: 81.50 67.54 67.25
Sites, in units of the cell vectors:
Ac1 0.000 0.000 0.000
Zn1 0.359 0.643 0.639
Zn2 0.641 0.357 0.361
Zn3 0.002 0.357 0.639
Zn4 0.998 0.643 0.361
Zn5 0.000 0.000 0.500
Zn6 0.500 0.000 0.500
Zn7 0.269 0.225 0.237
Zn8 0.731 0.775 0.763
Zn9 0.494 0.775 0.237
Zn10 0.506 0.225 0.763
Ag1 0.000 0.500 0.000
Ag2 0.500 0.500 0.000

Calculated values
total magnetic moment = 0.00 Bohr magnetons per cell
symmetry = Fmmm (69)
calculated density = 7.896 g cm⁻³
calculated formation energy = -0.1282 eV/atom

Record 4
Material: Tl5BiAu
Method: DFT, GGA-PBE
State: relaxed

abc: 8.527 8.527 8.527
angles: 86.34 64.79 120.68
Sites, in units of the cell vectors:
Tl1 0.052 0.293 0.259
Tl2 0.712 0.000 0.788
Tl3 0.552 0.310 0.741
Tl4 0.250 0.221 0.529
Tl5 0.788 0.500 0.212
Tl6 0.212 0.500 0.788
Tl7 0.750 0.779 0.471
Tl8 0.448 0.690 0.259
Tl9 0.288 0.000 0.212
Tl10 0.948 0.707 0.741
Bi1 0.000 0.000 0.000
Bi2 0.500 0.000 0.500
Au1 0.250 0.822 0.928
Au2 0.750 0.178 0.072

Calculated values
total magnetic moment = 0.00 Bohr magnetons per cell
symmetry = Imma (74)
calculated density = 10.543 g cm⁻³
calculated formation energy = 0.0326 eV/atom